# 1
Compound: EuCo2SiGe
Source: Alexandria
Functional: meta-GGA SCAN
Structure: single point on PBEsol structure

Formation energy (no corrections), eV per atom: -0.5228

abc: 3.8970 3.8970 10.1281
angles: 90.00 90.00 90.00
Closest atoms and distances in Å follow each position.
Space group I4mm (No. 107)
Inequivalent atoms, fractional coordinates:
Eu: 0.0000 0.0000 0.0000 x2  4 Ge 3.06, 4 Si 3.08, 8 Co 3.15-3.24
Co: 0.0000 0.5000 0.2446 x4  2 Si 2.24, 2 Ge 2.32
Si: 0.0000 0.0000 0.6352 x2  4 Co 2.24
Ge: 0.0000 0.0000 0.3694 x2  4 Co 2.32

=====

# 2
Compound: MoIrCl2
Source: Alexandria
Functional: meta-GGA SCAN
Structure: single point on PBEsol structure

Formation energy (no corrections), eV per atom: 0.6462
Energy above the most stable polymorph in this dataset, eV/f.u.: 3.76

abc: 5.6265 8.3443 2.9350
angles: 90.00 117.07 90.00
Closest atoms and distances in Å follow each position.
Space group C2/m (No. 12)
Inequivalent atoms, fractional coordinates:
Mo: 0.0000 0.0000 0.0000 x2  4 Cl 2.52, 2 Ir 2.81
Ir: 0.0000 0.5000 0.0000 x2  4 Cl 2.52, 2 Mo 2.81
Cl: 0.2500 0.2500 0.0000 x4  2 Mo 2.52, 2 Ir 2.52, 2 Cl 2.81

=====

# 3
Compound: CaTa2HgAs
Source: Alexandria
Functional: meta-GGA SCAN
Structure: single point on PBEsol structure

DFT formation energy, eV/atom: 0.720

abc: 4.7923 4.7923 5.2030
angles: 90.00 90.00 90.00
Closest atoms and distances in Å follow each position.
Space group P4/mmm (No. 123)
Inequivalent atoms, fractional coordinates:
Ca: 0.0000 0.0000 0.0000 x1  4 Hg 3.39, 8 Ta 3.54
Ta: 0.0000 0.5000 0.5000 x2  2 As 2.40
Hg: 0.5000 0.5000 0.0000 x1  2 As 2.60
As: 0.5000 0.5000 0.5000 x1  4 Ta 2.40, 2 Hg 2.60

=====

# 4
Compound: PrMn7O12
Source: Alexandria
Functional: meta-GGA SCAN
Structure: single point on PBEsol structure

Formation energy (no corrections), eV per atom: -2.3888

abc: 7.3870 7.3870 7.3870
angles: 90.00 90.00 90.00
Closest atoms and distances in Å follow each position.
Space group Im-3 (No. 204)
Inequivalent atoms, fractional coordinates:
Pr: 0.0000 0.0000 0.0000 x2  12 O 2.61
Mn: 0.0000 0.0000 0.5000 x6  4 O 1.93
Mn: 0.2500 0.2500 0.2500 x8  6 O 1.97
O: 0.0000 0.1762 0.3069 x24  3 Mn 1.93-1.97

=====

# 5
Compound: NaCuCSO7
Source: Alexandria
Functional: meta-GGA SCAN
Structure: single point on PBEsol structure

Formation energy (no corrections), eV per atom: -1.3945

abc: 4.8498 7.2016 8.7498
angles: 90.00 91.55 90.00
Closest atoms and distances in Å follow each position.
Space group P2_1 (No. 4)
Inequivalent atoms, fractional coordinates:
Na: 0.2489 0.0000 0.2575 x2  4 O 2.26-2.52
Cu: 0.2110 0.2165 0.8554 x2  4 O 1.87-1.89
C: 0.2918 0.2094 0.5955 x2  3 O 1.22-1.32
S: 0.2834 0.7317 0.9150 x2  4 O 1.45-1.53
O: 0.0496 0.2216 0.6587 x2  1 C 1.31
O: 0.1461 0.7447 0.0671 x2  1 S 1.51
O: 0.2034 0.5620 0.8323 x2  1 S 1.47
O: 0.2357 0.8979 0.8253 x2  1 S 1.45
O: 0.3350 0.1899 0.4592 x2  1 C 1.22
O: 0.4085 0.2132 0.0439 x2  1 S 1.53
O: 0.4811 0.2201 0.7065 x2  1 C 1.32

=====

# 6
Compound: InBi3Ru
Source: Alexandria
Functional: meta-GGA SCAN
Structure: single point on PBEsol structure

DFT formation energy, eV/atom: 1.544

abc: 5.5382 5.5382 5.5382
angles: 90.00 90.00 90.00
Closest atoms and distances in Å follow each position.
Space group Pm-3m (No. 221)
Inequivalent atoms, fractional coordinates:
In: 0.0000 0.0000 0.0000 x1  6 Bi 2.77
Bi: 0.0000 0.0000 0.5000 x3  2 In 2.77
Ru: 0.5000 0.5000 0.5000 x1  12 Bi 3.92

=====

# 7
Compound: KBaRh2
Source: Alexandria
Functional: meta-GGA SCAN
Structure: single point on PBEsol structure

DFT formation energy, eV/atom: 0.083
Energy above the most stable polymorph in this dataset, eV/f.u.: 0.00

abc: 7.0690 4.4024 9.3610
angles: 90.00 108.25 90.00
Closest atoms and distances in Å follow each position.
Space group Cm (No. 8)
Inequivalent atoms, fractional coordinates:
K: 0.0000 0.0000 0.0000 x2  6 Rh 3.27-3.47
Ba: 0.2088 0.0000 0.5022 x2  6 Rh 3.09-3.30
Rh: 0.2901 0.5000 0.2659 x2  3 Rh 2.42-2.54
Rh: 0.4307 0.0000 0.2658 x2  3 Rh 2.42-2.54

=====

# 8
Compound: TiPdF3
Source: Alexandria
Functional: meta-GGA SCAN
Structure: single point on PBEsol structure

Formation energy (no corrections), eV per atom: -1.0973

abc: 4.2182 4.2182 4.2182
angles: 90.00 90.00 90.00
Closest atoms and distances in Å follow each position.
Space group Pm-3m (No. 221)
Inequivalent atoms, fractional coordinates:
Ti: 0.0000 0.0000 0.0000 x1  12 F 2.98
Pd: 0.5000 0.5000 0.5000 x1  6 F 2.11
F: 0.0000 0.5000 0.5000 x3  2 Pd 2.11

=====

no.,V (Å³/cell)
1,153.8
2,122.7
3,119.5
4,403.1
5,305.5
6,169.9
7,276.7
8,75.1